Entry from the Alexandria database: an optimized crystal structure of SrCrGaO4 (PBE+U).

Summary:
N(E_F), states/eV/cell: 0.00
Crystal system: monoclinic
Calculated total energy, eV/atom: -6.590

abc: 5.3464 5.6409 6.8295
angles: 90.00 106.27 90.00
Space group P2_1/m (No. 11)
One atom of each set of equivalent atoms:
Sr 0.2381 0.2500 0.4599 x2
Cr 0.3963 0.2500 0.0052 x2
Ga 0.1967 0.7500 0.1711 x2
O 0.0624 0.2500 0.0696 x2
O 0.1443 0.7500 0.4194 x2
O 0.4862 0.5266 0.1876 x4